1.
Here is crystalline LiPd2Au4 at its relaxed geometry from Alexandria via LeMat-Bulk. Energies are from GGA-PBE.

Lattice parameters (Å, degrees): 6.7995 6.8064 6.8038 110.39 110.35 107.70
With the nearest neighbours (Å) after each atom.
Fractional coordinates of all 14 atoms:
Li1 0.2488 0.7501 0.4991  4 Au 2.56-2.57
Li2 0.9996 0.9989 0.9984  8 Au 2.53-2.69
Pd1 0.6200 0.5286 0.3124  8 Au 2.74-2.87, 2 Pd 2.85
Pd2 0.2165 0.3069 0.6889  8 Au 2.73-2.88, 2 Pd 2.85
Pd3 0.6934 0.3817 0.9095  8 Au 2.74-2.87, 2 Pd 2.85
Pd4 0.4716 0.7834 0.0912  8 Au 2.73-2.88, 2 Pd 2.85
Au1 0.7552 0.0194 0.6070  1 Li 2.68, 4 Pd 2.84-2.88, 4 Au 2.85-2.97
Au2 0.5732 0.6601 0.7152  2 Li 2.53-2.57, 4 Pd 2.74-2.82
Au3 0.4124 0.1496 0.3931  1 Li 2.69, 4 Au 2.84-2.96, 4 Pd 2.85-2.87
Au4 0.8515 0.2442 0.2638  1 Li 2.69, 4 Au 2.84-2.96, 4 Pd 2.85-2.88
Au5 0.9808 0.5874 0.7367  1 Li 2.68, 4 Pd 2.85-2.87, 4 Au 2.85-2.97
Au6 0.9444 0.8593 0.2839  2 Li 2.53-2.56, 4 Pd 2.73-2.81
Au7 0.1418 0.4250 0.0864  2 Li 2.53-2.57, 4 Pd 2.74-2.81
Au8 0.3408 0.0554 0.9144  2 Li 2.53-2.57, 4 Pd 2.73-2.82

symmetry	No. 1
size of the total moment	0.0	μB/cell
theoretical density	13.82	g/cm3

=====

2.
Here is crystalline LiPd2Au4 at its relaxed geometry from Alexandria via LeMat-Bulk. Energies are from GGA-PBE.

Lattice parameters (Å, degrees): 6.4211 5.7148 8.5342 119.54 107.68 102.68
With the nearest neighbours (Å) after each atom.
Fractional coordinates of all 14 atoms:
Li1 0.3104 0.8077 0.4659  8 Au 2.80-2.91, 4 Pd 2.82-2.90
Li2 0.1620 0.9471 0.0360  9 Au 2.81-2.89, 3 Pd 2.85-2.88
Pd1 0.7340 0.3766 0.7507  8 Au 2.84-2.90, 2 Pd 2.85-2.86, 2 Li 2.86-2.88
Pd2 0.5887 0.0175 0.3226  6 Au 2.79-2.89, 2 Li 2.82-2.85, 4 Pd 2.84-2.87
Pd3 0.5848 0.5182 0.3225  7 Au 2.81-2.92, 2 Li 2.82-2.87, 3 Pd 2.85-2.89
Pd4 0.0162 0.0890 0.6072  8 Au 2.82-2.90, 3 Pd 2.84-2.89, 1 Li 2.90
Au1 0.8785 0.2313 0.1787  8 Au 2.85-2.91, 2 Li 2.85-2.91, 2 Pd 2.89-2.92
Au2 0.1653 0.4576 0.0432  3 Li 2.81-2.88, 4 Pd 2.82-2.90, 5 Au 2.85-2.93
Au3 0.0134 0.5868 0.6043  5 Pd 2.84-2.87, 5 Au 2.85-2.95, 2 Li 2.87-2.90
Au4 0.7315 0.8757 0.7457  2 Li 2.80-2.88, 4 Pd 2.81-2.88, 6 Au 2.85-2.93
Au5 0.3068 0.2920 0.4584  4 Pd 2.79-2.90, 3 Li 2.80-2.91, 5 Au 2.84-2.95
Au6 0.4394 0.1568 0.8894  3 Pd 2.83-2.89, 2 Li 2.84, 7 Au 2.85-2.93
Au7 0.4407 0.6589 0.8909  1 Li 2.84, 8 Au 2.85-2.91, 3 Pd 2.87-2.90
Au8 0.8784 0.7348 0.1845  4 Pd 2.82-2.89, 6 Au 2.84-2.93, 2 Li 2.85-2.89

symmetry	No. 1
size of the total moment	0.0	μB/cell
theoretical density	14.40	g/cm3

=====

Energetically preferred structure: 2 | next structure: +109 meV/atom

=====

1.
Here is crystalline Li2PdAu2 at its relaxed geometry from Alexandria via LeMat-Bulk. Energies are from GGA-PBE.

Lattice parameters (Å, degrees): 4.4308 4.3684 11.4375 53.82 78.83 59.53
With the nearest neighbours (Å) after each atom.
Fractional coordinates of all 10 atoms:
Li1 0.4527 0.7414 0.8543  4 Au 2.61-2.63, 1 Li 2.66, 3 Pd 2.70-2.71
Li2 0.9516 0.2414 0.3543  4 Au 2.61-2.63, 1 Li 2.66, 3 Pd 2.70-2.71
Li3 0.5473 0.2586 0.1457  4 Au 2.61-2.63, 1 Li 2.66, 3 Pd 2.70-2.71
Li4 0.0484 0.7586 0.6457  4 Au 2.61-2.63, 1 Li 2.66, 3 Pd 2.70-2.71
Pd1 0.2493 0.7500 0.2500  6 Li 2.70-2.71, 4 Au 2.91-2.97
Pd2 0.7507 0.2500 0.7500  6 Li 2.70-2.71, 4 Au 2.91-2.97
Au1 0.3564 0.2189 0.5686  4 Li 2.61-2.63, 3 Au 2.82-2.84, 1 Pd 2.91
Au2 0.1438 0.2811 0.9314  4 Li 2.61-2.63, 3 Au 2.82-2.84, 1 Pd 2.91
Au3 0.6436 0.7811 0.4314  4 Li 2.61-2.63, 3 Au 2.82-2.84, 1 Pd 2.91
Au4 0.8562 0.7189 0.0686  4 Li 2.61-2.63, 3 Au 2.82-2.84, 1 Pd 2.91

symmetry	No. 15
size of the total moment	0.0	μB/cell
theoretical density	11.22	g/cm3

=====

2.
Here is crystalline Li2PdAu2 at its relaxed geometry from Alexandria via LeMat-Bulk. Energies are from GGA-PBE.

Lattice parameters (Å, degrees): 7.0842 7.0842 2.9867 90.00 90.00 90.00
With the nearest neighbours (Å) after each atom.
Fractional coordinates of all 10 atoms:
Au1 0.1666 0.6666 0.5000  6 Li 2.50-2.61
Au2 0.6666 0.8334 0.5000  6 Li 2.50-2.61
Au3 0.8334 0.3334 0.5000  6 Li 2.50-2.61
Au4 0.3334 0.1666 0.5000  6 Li 2.50-2.61
Pd1 0.0000 0.0000 0.0000  4 Li 2.76, 2 Pd 2.99, 8 Au 3.03
Pd2 0.5000 0.5000 0.0000  4 Li 2.76, 2 Pd 2.99, 8 Au 3.03
Li1 0.3668 0.8668 0.0000  6 Au 2.50-2.61, 1 Li 2.67, 2 Pd 2.76
Li2 0.8668 0.6332 0.0000  6 Au 2.50-2.61, 1 Li 2.67, 2 Pd 2.76
Li3 0.6332 0.1332 0.0000  6 Au 2.50-2.61, 1 Li 2.67, 2 Pd 2.76
Li4 0.1332 0.3668 0.0000  6 Au 2.50-2.61, 1 Li 2.67, 2 Pd 2.76

symmetry	No. 127
size of the total moment	0.0	μB/cell
theoretical density	11.39	g/cm3

=====

3.
Here is crystalline Li2PdAu2 at its relaxed geometry from Alexandria via LeMat-Bulk. Energies are from GGA-PBE.

Lattice parameters (Å, degrees): 7.3322 7.3322 2.9466 90.00 90.00 90.00
With the nearest neighbours (Å) after each atom.
Fractional coordinates of all 10 atoms:
Au1 0.3620 0.8620 0.0000  6 Li 2.54-2.66, 2 Pd 2.84
Au2 0.8620 0.6380 0.0000  6 Li 2.54-2.66, 2 Pd 2.84
Au3 0.6380 0.1380 0.0000  6 Li 2.54-2.66, 2 Pd 2.84
Au4 0.1380 0.3620 0.0000  6 Li 2.54-2.66, 2 Pd 2.84
Pd1 0.0000 0.0000 0.0000  4 Au 2.84, 2 Pd 2.95, 8 Li 3.12
Pd2 0.5000 0.5000 0.0000  4 Au 2.84, 2 Pd 2.95, 8 Li 3.12
Li1 0.1626 0.6626 0.5000  6 Au 2.54-2.66
Li2 0.6626 0.8374 0.5000  6 Au 2.54-2.66
Li3 0.8374 0.3374 0.5000  6 Au 2.54-2.66
Li4 0.3374 0.1626 0.5000  6 Au 2.54-2.66

symmetry	No. 127
size of the total moment	0.0	μB/cell
theoretical density	10.78	g/cm3

=====

Energetically preferred structure: 1 | next structure: +61 meV/atom

=====

1.
Here is crystalline LiPd3Au6 at its relaxed geometry from Alexandria via LeMat-Bulk. Energies are from GGA-PBE.

Lattice parameters (Å, degrees): 2.8270 10.5061 11.6920 100.59 90.00 90.00
With the nearest neighbours (Å) after each atom.
Fractional coordinates of all 20 atoms:
Li1 0.7500 0.0472 0.7259  5 Au 2.59-2.84, 2 Li 2.83
Li2 0.2500 0.9528 0.2741  5 Au 2.59-2.84, 2 Li 2.83
Pd1 0.7500 0.4228 0.9021  8 Au 2.81-2.94, 4 Pd 2.83-2.92
Pd2 0.2500 0.5772 0.0979  8 Au 2.81-2.94, 4 Pd 2.83-2.92
Pd3 0.7500 0.6287 0.4982  7 Au 2.73-2.95, 2 Pd 2.83
Pd4 0.2500 0.3713 0.5018  7 Au 2.73-2.95, 2 Pd 2.83
Pd5 0.7500 0.0731 0.0936  6 Au 2.72-2.92, 4 Pd 2.81-2.83, 2 Li 3.00
Pd6 0.2500 0.9269 0.9064  6 Au 2.72-2.92, 4 Pd 2.81-2.83, 2 Li 3.00
Au1 0.7500 0.5130 0.6890  4 Pd 2.73-2.82, 7 Au 2.83-2.98
Au2 0.2500 0.4870 0.3110  4 Pd 2.73-2.82, 7 Au 2.83-2.98
Au3 0.7500 0.8119 0.0805  5 Pd 2.72-2.92, 5 Au 2.79-2.94, 2 Li 2.84
Au4 0.2500 0.1881 0.9195  5 Pd 2.72-2.92, 5 Au 2.79-2.94, 2 Li 2.84
Au5 0.7500 0.3430 0.1185  4 Pd 2.80-2.89, 8 Au 2.83-3.05
Au6 0.2500 0.6570 0.8815  4 Pd 2.80-2.89, 8 Au 2.83-3.05
Au7 0.7500 0.7335 0.2957  2 Li 2.75, 7 Au 2.79-3.01, 3 Pd 2.79-2.94
Au8 0.2500 0.2665 0.7043  2 Li 2.75, 7 Au 2.79-3.01, 3 Pd 2.79-2.94
Au9 0.7500 0.1228 0.4927  8 Au 2.83-3.01, 2 Pd 2.95, 1 Li 2.98
Au10 0.2500 0.8772 0.5073  8 Au 2.83-3.01, 2 Pd 2.95, 1 Li 2.98
Au11 0.7500 0.7980 0.7096  1 Li 2.59, 3 Pd 2.77-2.83, 2 Au 2.83
Au12 0.2500 0.2020 0.2904  1 Li 2.59, 3 Pd 2.77-2.83, 2 Au 2.83

symmetry	No. 11
size of the total moment	0.0	μB/cell
theoretical density	14.67	g/cm3

=====

2.
Here is crystalline LiPd3Au6 at its relaxed geometry from Alexandria via LeMat-Bulk. Energies are from GGA-PBE.

Lattice parameters (Å, degrees): 4.7486 7.5761 10.2719 114.56 90.00 90.00
With the nearest neighbours (Å) after each atom.
Fractional coordinates of all 20 atoms:
Li1 0.2500 0.9640 0.5720  8 Au 2.78-2.85, 2 Pd 2.82, 2 Li 2.97
Li2 0.7500 0.0360 0.4280  8 Au 2.78-2.85, 2 Pd 2.82, 2 Li 2.97
Pd1 0.2500 0.5744 0.3699  9 Au 2.77-2.96, 1 Li 2.82, 2 Pd 2.89
Pd2 0.7500 0.4256 0.6301  9 Au 2.77-2.96, 1 Li 2.82, 2 Pd 2.89
Pd3 0.2500 0.3595 0.7641  8 Au 2.78-2.90, 1 Li 2.82, 3 Pd 2.89-2.92
Pd4 0.7500 0.6405 0.2359  8 Au 2.78-2.90, 1 Li 2.82, 3 Pd 2.89-2.92
Pd5 0.2500 0.7656 0.9684  11 Au 2.85-2.92, 1 Pd 2.92
Pd6 0.7500 0.2344 0.0316  11 Au 2.85-2.92, 1 Pd 2.92
Au1 0.2500 0.4685 0.0700  7 Pd 2.84-2.90, 5 Au 2.87-2.92
Au2 0.7500 0.5315 0.9300  7 Pd 2.84-2.90, 5 Au 2.87-2.92
Au3 0.2500 0.1668 0.1699  8 Au 2.87-2.90, 4 Pd 2.88-2.92
Au4 0.7500 0.8332 0.8301  8 Au 2.87-2.90, 4 Pd 2.88-2.92
Au5 0.2500 0.6611 0.6659  5 Pd 2.83-2.90, 1 Li 2.83, 6 Au 2.85-2.94
Au6 0.7500 0.3389 0.3341  5 Pd 2.83-2.90, 1 Li 2.83, 6 Au 2.85-2.94
Au7 0.2500 0.2617 0.4714  4 Pd 2.78-2.96, 5 Au 2.82-2.94, 3 Li 2.85
Au8 0.7500 0.7383 0.5286  4 Pd 2.78-2.96, 5 Au 2.82-2.94, 3 Li 2.85
Au9 0.2500 0.8676 0.2750  4 Pd 2.77-2.91, 5 Au 2.82-2.93, 3 Li 2.83-2.84
Au10 0.7500 0.1324 0.7250  4 Pd 2.77-2.91, 5 Au 2.82-2.93, 3 Li 2.83-2.84
Au11 0.2500 0.0658 0.8652  1 Li 2.78, 4 Pd 2.82-2.89, 7 Au 2.89-2.93
Au12 0.7500 0.9342 0.1348  1 Li 2.78, 4 Pd 2.82-2.89, 7 Au 2.89-2.93

symmetry	No. 11
size of the total moment	0.0	μB/cell
theoretical density	14.90	g/cm3

=====

Energetically preferred structure: 2 | next structure: +40 meV/atom

=====

1.
Here is crystalline Li3PdAu2 at its relaxed geometry from Alexandria via LeMat-Bulk. Energies are from GGA-PBE.

Lattice parameters (Å, degrees): 4.1017 5.3803 8.2186 86.74 90.00 90.00
With the nearest neighbours (Å) after each atom.
Fractional coordinates of all 12 atoms:
Li1 0.7500 0.1348 0.5840  5 Au 2.65-2.73, 3 Pd 2.70-2.71, 4 Li 2.89-2.91
Li2 0.2500 0.8652 0.4160  5 Au 2.65-2.73, 3 Pd 2.70-2.71, 4 Li 2.89-2.91
Li3 0.7500 0.5932 0.2529  2 Pd 2.67-2.71, 5 Au 2.73-2.74, 5 Li 2.85-2.89
Li4 0.2500 0.4068 0.7471  2 Pd 2.67-2.71, 5 Au 2.73-2.74, 5 Li 2.85-2.89
Li5 0.2500 0.3322 0.0928  5 Au 2.67-2.72, 2 Pd 2.73, 3 Li 2.85
Li6 0.7500 0.6678 0.9072  5 Au 2.67-2.72, 2 Pd 2.73, 3 Li 2.85
Pd1 0.2500 0.9040 0.7436  7 Li 2.67-2.73, 5 Au 2.84-2.88
Pd2 0.7500 0.0960 0.2564  7 Li 2.67-2.73, 5 Au 2.84-2.88
Au1 0.2500 0.3582 0.4185  8 Li 2.65-2.73, 2 Pd 2.86, 2 Au 2.93
Au2 0.7500 0.6418 0.5815  8 Li 2.65-2.73, 2 Pd 2.86, 2 Au 2.93
Au3 0.7500 0.1642 0.9110  7 Li 2.67-2.74, 3 Pd 2.84-2.88
Au4 0.2500 0.8358 0.0890  7 Li 2.67-2.74, 3 Pd 2.84-2.88

symmetry	No. 11
size of the total moment	0.0	μB/cell
theoretical density	9.56	g/cm3

=====

2.
Here is crystalline Li3PdAu2 at its relaxed geometry from Alexandria via LeMat-Bulk. Energies are from GGA-PBE.

Lattice parameters (Å, degrees): 2.8921 5.2971 12.3096 90.00 96.75 90.00
With the nearest neighbours (Å) after each atom.
Fractional coordinates of all 12 atoms:
Li1 0.4211 0.5002 0.8423  1 Pd 2.54, 2 Li 2.65, 6 Au 2.74-2.76
Li2 0.5789 0.4998 0.1577  1 Pd 2.54, 2 Li 2.65, 6 Au 2.74-2.76
Li3 0.4211 0.9998 0.8423  1 Pd 2.54, 2 Li 2.65, 6 Au 2.74-2.76
Li4 0.5789 0.0002 0.1577  1 Pd 2.54, 2 Li 2.65, 6 Au 2.74-2.76
Li5 0.7462 0.7500 0.4925  2 Pd 2.56, 2 Au 2.61
Li6 0.2538 0.2500 0.5075  2 Pd 2.56, 2 Au 2.61
Pd1 0.3325 0.7500 0.6651  4 Li 2.54-2.56
Pd2 0.6675 0.2500 0.3349  4 Li 2.54-2.56
Au1 0.1572 0.7500 0.3145  6 Li 2.61-2.74, 2 Au 2.89
Au2 0.8428 0.2500 0.6855  6 Li 2.61-2.74, 2 Au 2.89
Au3 0.0007 0.7500 0.0014  4 Au 2.65-2.89, 8 Li 2.74-2.76
Au4 0.9993 0.2500 0.9986  4 Au 2.65-2.89, 8 Li 2.74-2.76

symmetry	No. 63
size of the total moment	0.0	μB/cell
theoretical density	9.24	g/cm3

=====

Energetically preferred structure: 1 | next structure: +90 meV/atom